1.
A plane-wave DFT calculation with PBE-GGA was carried out for a relaxed TeMoOs4 crystal.

Calculated values
size of the total moment: 0.0 μB/cell
space group: F-43m
density of states at the Fermi level: 7.7 states/eV per cell
formation energy without anion corrections: 20.98 kcal/mol of atoms

Cell lengths 5.225, 5.225, 5.225 Å; angles 60.00, 60.00, 60.00 degrees
Sites, in units of the cell vectors:
Te 0.750 0.750 0.750
Mo 0.000 0.000 0.000
Os 0.877 0.374 0.374
Os 0.374 0.374 0.877
Os 0.374 0.877 0.374
Os 0.374 0.374 0.374

2.
A plane-wave DFT calculation with PBE-GGA was carried out for a relaxed CaPbW crystal.

Calculated values
size of the total moment: 0.0 μB/cell
energy of formation: 697 meV per atom
space group: I4mm
density of states at the Fermi level: 1.3 states/eV per cell

Cell lengths 7.586, 7.586, 7.586 Å; angles 156.43, 156.43, 33.58 degrees
Sites, in units of the cell vectors:
Pb 0.320 0.320 0.000
Ca 0.010 0.010 0.000
W 0.670 0.670 0.000

3.
A plane-wave DFT calculation with PBE-GGA was carried out for a relaxed K2Cd6HgAu crystal.

Calculated values
size of the total moment: 0.0 μB/cell
energy of formation: -87 meV per atom
space group: Pmmn
density of states at the Fermi level: 7.5 states/eV per cell

Cell lengths 8.040, 7.633, 10.018 Å; angles 90.00, 90.00, 90.00 degrees
Sites, in units of the cell vectors:
K 0.500 0.716 0.282
K 0.000 0.284 0.782
K 0.500 0.716 0.718
K 0.000 0.284 0.218
Cd 0.500 0.213 0.246
Cd 0.500 0.213 0.754
Cd 0.000 0.787 0.254
Cd 0.000 0.787 0.746
Cd 0.176 0.956 0.500
Cd 0.824 0.956 0.500
Cd 0.294 0.362 0.500
Cd 0.706 0.362 0.500
Cd 0.794 0.638 0.000
Cd 0.206 0.638 0.000
Cd 0.324 0.044 0.000
Cd 0.676 0.044 0.000
Hg 0.000 0.576 0.500
Hg 0.500 0.424 0.000
Au 0.500 0.059 0.500
Au 0.000 0.941 0.000

4.
A plane-wave DFT calculation with PBE-GGA was carried out for a relaxed NaPr2AlS5 crystal.

Calculated values
size of the total moment: 0.0 μB/cell
space group: Cmc2_1
formation energy without anion corrections: -37.86 kcal/mol of atoms

Cell lengths 3.927, 8.777, 12.022 Å; angles 90.00, 90.00, 102.93 degrees
Sites, in units of the cell vectors:
Na 0.807 0.614 0.531
Na 0.193 0.386 0.031
Pr 0.864 0.729 0.832
Pr 0.121 0.242 0.686
Pr 0.136 0.271 0.332
Pr 0.879 0.758 0.186
Al 0.549 0.097 0.927
Al 0.451 0.903 0.427
S 0.351 0.702 0.013
S 0.671 0.342 0.858
S 0.488 0.977 0.761
S 0.293 0.585 0.697
S 0.979 0.958 0.520
S 0.649 0.298 0.513
S 0.329 0.658 0.358
S 0.512 0.023 0.261
S 0.707 0.415 0.197
S 0.021 0.042 0.020

5.
A plane-wave DFT calculation with PBE-GGA was carried out for a relaxed BaRu3O crystal.

Calculated values
size of the total moment: 0.0 μB/cell
space group: Pm-3m
density of states at the Fermi level: 5.8 states/eV per cell
formation energy without anion corrections: 14.98 kcal/mol of atoms

Cell lengths 4.359, 4.359, 4.359 Å; angles 90.00, 90.00, 90.00 degrees
Sites, in units of the cell vectors:
Ru 0.000 0.500 0.000
Ru 0.000 0.000 0.500
Ru 0.500 0.000 0.000
Ba 0.500 0.500 0.500
O 0.000 0.000 0.000

6.
A plane-wave DFT calculation with PBE-GGA was carried out for a relaxed DyHoHgPd crystal.

Calculated values
size of the total moment: 0.0 μB/cell
energy of formation: -691 meV per atom
space group: P4mm
density of states at the Fermi level: 2.7 states/eV per cell

Cell lengths 3.576, 3.576, 7.346 Å; angles 90.00, 90.00, 90.00 degrees
Sites, in units of the cell vectors:
Dy 0.500 0.500 0.127
Ho 0.500 0.500 0.586
Hg 0.000 0.000 0.855
Pd 0.000 0.000 0.360

7.
A plane-wave DFT calculation with PBE-GGA was carried out for a relaxed Nd6SnRh crystal.

Calculated values
size of the total moment: 0.0 μB/cell
energy of formation: -160 meV per atom
space group: P-1
density of states at the Fermi level: 11.6 states/eV per cell

Cell lengths 7.015, 7.078, 7.789 Å; angles 63.44, 63.83, 60.21 degrees
Sites, in units of the cell vectors:
Nd 0.041 0.420 0.756
Nd 0.780 0.039 0.755
Nd 0.580 0.217 0.245
Nd 0.220 0.961 0.245
Nd 0.959 0.580 0.244
Nd 0.420 0.783 0.755
Sn 0.500 0.500 0.500
Rh 0.000 0.000 0.000

8.
A plane-wave DFT calculation with PBE-GGA was carried out for a relaxed Ho6MgRh2 crystal.

Calculated values
size of the total moment: 0.0 μB/cell
energy of formation: -478 meV per atom
space group: Immm
density of states at the Fermi level: 18.1 states/eV per cell

Cell lengths 8.473, 8.473, 8.473 Å; angles 103.88, 111.85, 112.83 degrees
Sites, in units of the cell vectors:
Ho 0.469 0.287 0.182
Ho 0.531 0.713 0.818
Ho 0.896 0.713 0.182
Ho 0.104 0.287 0.818
Ho 0.200 0.762 0.962
Ho 0.800 0.238 0.038
Ho 0.800 0.762 0.562
Ho 0.200 0.238 0.438
Ho 0.308 0.983 0.676
Ho 0.692 0.017 0.324
Ho 0.692 0.368 0.676
Ho 0.308 0.632 0.324
Mg 0.000 0.500 0.500
Mg 0.000 0.000 0.000
Rh 0.500 0.369 0.869
Rh 0.500 0.631 0.131
Rh 0.327 0.000 0.327
Rh 0.673 0.000 0.673